Density functional theory data (PBE-GGA) for a relaxed HfNpCr4 crystal.

Output
DOS(E_F), states/eV per atom: 1.777
E_tot, eV for the cell shown: -59.85
SG: F-43m
Total magnetization, μB per formula unit: 3.2
E_form, eV per atom: 0.257

```
data_HfNpCr4
_cell_length_a 5.041
_cell_length_b 5.041
_cell_length_c 5.041
_cell_angle_alpha 60.00
_cell_angle_beta 60.00
_cell_angle_gamma 60.00
_symmetry_space_group_name_H-M 'P 1'
_symmetry_Int_Tables_number 1
loop_
_symmetry_equiv_pos_as_xyz
'x,y,z'
loop_
_atom_site_label
_atom_site_type_symbol
_atom_site_fract_x
_atom_site_fract_y
_atom_site_fract_z
Hf1 Hf 0.000 0.000 0.000
Np1 Np 0.250 0.250 0.250
Cr1 Cr 0.124 0.625 0.625
Cr2 Cr 0.625 0.124 0.625
Cr3 Cr 0.625 0.625 0.124
Cr4 Cr 0.625 0.625 0.625
```